Entry 1:
Density functional theory data (PBE) for a relaxed MnZnFe2Te crystal.

## Properties
Formation energy without anion corrections   5.694 eV/f.u.
Symmetry   P4/mmm, No. 123

Geometry as POSCAR:
```
MnZnFe2Te
1.0
4.747 0.000 0.000
0.000 4.973 0.000
0.000 0.000 4.747
Zn Te Fe Mn
1 1 2 1
Cartesian
2.373 2.487 2.373 Zn
0.000 0.000 0.000 Te
0.000 0.000 2.373 Fe
2.373 0.000 0.000 Fe
0.000 2.487 0.000 Mn
```

---

Entry 2:
Density functional theory data (PBE) for a relaxed BRhC crystal.

## Properties
ΔE to the lowest computed polymorph   0.0000 eV/atom
E_form   0.13 eV/atom
Symmetry   P-6m2, No. 187

Geometry as POSCAR:
```
BRhC
1.0
-1.767 1.821 1.036
1.500 -1.563 1.679
3.101 2.998 0.019
C B Rh
1 1 1
Cartesian
0.411 -0.435 1.465 C
-0.678 0.693 1.251 B
1.962 1.064 1.475 Rh
```

---

Entry 3:
Density functional theory data (PBE) for a relaxed PuTl2Pt9 crystal.

## Properties
E_form   -0.30 eV/atom
Symmetry   R-3m, No. 166

Geometry as POSCAR:
```
PuTl2Pt9
1.0
5.218 0.000 1.553
2.378 4.645 1.553
0.063 0.038 9.333
Pu Tl Pt
1 2 9
Cartesian
0.000 0.000 0.000 Pu
6.552 4.006 6.615 Tl
1.107 0.677 5.824 Tl
5.127 3.135 11.402 Pt
2.531 1.548 1.037 Pt
3.829 2.342 6.220 Pt
3.166 1.936 3.632 Pt
5.799 1.936 4.416 Pt
4.366 4.280 4.416 Pt
4.492 2.747 8.807 Pt
3.293 0.404 8.023 Pt
1.860 2.747 8.023 Pt
```

---

Entry 4:
Density functional theory data (PBE) for a relaxed Sm3CdPt8 crystal.

## Properties
E_form   -0.97 eV/atom
Symmetry   R3m, No. 160

Geometry as POSCAR:
```
Sm3CdPt8
1.0
5.455 0.000 0.000
2.728 4.724 0.000
2.728 1.575 8.924
Sm Cd Pt
3 1 8
Cartesian
5.455 3.150 7.740 Sm
8.183 4.724 0.187 Sm
5.455 3.150 4.303 Sm
8.183 4.724 3.446 Cd
6.831 2.355 1.647 Pt
6.817 5.513 6.149 Pt
4.080 2.355 1.647 Pt
9.549 5.513 6.149 Pt
2.728 1.575 3.892 Pt
8.183 4.724 8.357 Pt
5.455 4.738 1.647 Pt
8.183 3.148 6.149 Pt
```

---

Entry 5:
Density functional theory data (PBE) for a relaxed TbThNiAu crystal.

## Properties
ΔE to the lowest computed polymorph   0.1493 eV/atom
E_form   -0.45 eV/atom
Symmetry   F-43m, No. 216

Geometry as POSCAR:
```
TbThNiAu
1.0
-3.704 -2.905 -1.878
-3.477 -1.994 3.102
-4.767 1.720 -0.097
Tb Au Th Ni
1 1 1 1
Cartesian
0.000 0.000 0.000 Tb
-8.961 -2.384 0.845 Au
-5.974 -1.589 0.564 Th
-2.987 -0.795 0.282 Ni
```

---

Entry 6:
Density functional theory data (PBE) for a relaxed BeAsP2O crystal.

## Properties
Formation energy without anion corrections   3.563 eV/f.u.
ΔE to the lowest computed polymorph   0.7163 eV/atom
Symmetry   P4/mmm, No. 123

Geometry as POSCAR:
```
BeAsP2O
1.0
-0.438 4.787 0.135
-4.212 -0.321 -2.298
-1.683 -0.242 3.119
P As O Be
2 1 1 1
Cartesian
-2.106 -0.161 -1.149 P
-0.219 2.394 0.067 P
0.000 0.000 0.000 As
-0.842 -0.121 1.560 O
-3.167 2.112 0.478 Be
```

---

Entry 7:
Density functional theory data (PBE) for a relaxed CsHgTe2Rh crystal.

## Properties
Formation energy without anion corrections   -1.251 eV/f.u.
Symmetry   P4/mmm, No. 123

Geometry as POSCAR:
```
CsHgTe2Rh
1.0
5.410 0.000 0.000
0.000 5.410 0.000
0.000 0.000 5.475
Cs Te Rh Hg
1 2 1 1
Cartesian
2.705 2.705 2.738 Cs
0.000 2.705 0.000 Te
2.705 0.000 0.000 Te
0.000 0.000 0.000 Rh
0.000 0.000 2.738 Hg
```

---

Entry 8:
Density functional theory data (PBE) for a relaxed Ba5ScBi4 crystal.

## Properties
E_form   -0.67 eV/atom
Symmetry   C2/m, No. 12

Geometry as POSCAR:
```
Ba5ScBi4
1.0
-4.850 -0.264 -0.315
0.502 -9.131 -0.086
1.482 4.550 10.985
Ba Sc Bi
5 1 4
Cartesian
-2.765 -2.543 7.103 Ba
-3.020 2.083 7.144 Ba
0.153 -6.927 3.439 Ba
-2.174 -4.697 -0.201 Ba
-0.101 -2.301 3.480 Ba
-2.425 -0.132 -0.157 Sc
-0.156 -4.650 6.291 Bi
0.395 -7.191 -0.066 Bi
-2.711 -0.194 4.292 Bi
-3.262 2.347 10.650 Bi
```

---

Entry 9:
Density functional theory data (PBE) for a relaxed In2SiBr crystal.

## Properties
Formation energy without anion corrections   0.296 eV/f.u.
ΔE to the lowest computed polymorph   0.1210 eV/atom
Symmetry   Cm, No. 8

Geometry as POSCAR:
```
In2SiBr
1.0
-2.341 4.863 2.406
-4.920 2.987 1.337
-0.194 -2.438 4.742
Br In Si
1 2 1
Cartesian
-5.606 3.747 6.947 Br
-0.180 -2.126 4.160 In
-1.823 0.979 2.679 In
-3.767 3.080 3.682 Si
```

---

Entry 10:
Density functional theory data (PBE) for a relaxed YScHg2 crystal.

## Properties
ΔE to the lowest computed polymorph   0.1295 eV/atom
E_form   -0.34 eV/atom
Symmetry   C2/m, No. 12

Geometry as POSCAR:
```
YScHg2
1.0
-2.668 -0.327 -4.167
-4.062 -2.408 -1.515
-4.531 4.267 0.968
Hg Sc Y
2 1 1
Cartesian
-4.456 4.155 0.919 Hg
-5.706 0.878 -2.309 Hg
-8.446 1.149 -3.536 Sc
-2.815 0.383 -1.179 Y
```

---

Entry 11:
Density functional theory data (PBE) for a relaxed TcGe2Se6 crystal.

## Properties
Formation energy without anion corrections   -1.365 eV/f.u.
Symmetry   C2/c, No. 15

Geometry as POSCAR:
```
TcGe2Se6
1.0
6.502 -0.296 -0.287
1.501 8.212 0.185
1.501 0.451 8.201
Tc Ge Se
2 4 12
Cartesian
3.126 1.280 7.197 Tc
6.378 7.087 0.903 Tc
3.105 5.361 6.509 Ge
3.148 1.835 3.096 Ge
6.399 3.006 1.591 Ge
6.357 6.532 5.004 Ge
4.078 6.019 4.393 Se
2.175 3.929 2.369 Se
5.426 2.348 3.707 Se
7.330 4.438 5.731 Se
7.558 7.229 2.954 Se
5.197 5.033 0.827 Se
1.946 1.138 5.147 Se
4.307 3.334 7.273 Se
3.500 7.133 8.195 Se
2.753 0.093 1.380 Se
6.004 1.234 -0.095 Se
6.751 8.274 6.720 Se
```

---

Entry 12:
Density functional theory data (PBE) for a relaxed Ta2MoW crystal.

## Properties
E_form   -0.10 eV/atom
Symmetry   Pm, No. 6

Geometry as POSCAR:
```
Ta2MoW
1.0
-1.917 -3.318 -2.436
1.437 -1.948 1.521
-3.434 -0.930 3.969
Mo W Ta
1 1 2
Cartesian
-2.456 -3.807 2.886 Mo
-0.994 -1.457 2.767 W
-2.003 -2.853 5.462 Ta
-1.456 -2.395 0.176 Ta
```

---

no.,DFT total energy (eV/f.u.),N(E_F) (states/eV/cell)
1,-24.8,6.94
2,-22.9,1.60
3,-77.0,18.07
4,-75.0,5.70
5,-22.9,4.21
6,-20.6,2.15
7,-16.0,7.26
8,-38.1,4.47
9,-12.3,1.88
10,-14.7,3.33
11,-41.9,7.44
12,-47.9,2.57